[1]
# PuNbH4 PBE optimized geometry
# energy above the lowest structure with this stoichiometry: 0.000 eV per atom
# uncorrected energy: -39.56 eV/cell
# M_tot: 0.973 μB/atom
# DOS(E_F): 5.5 states/eV/cell
data_PuNbH4
_cell_length_a 3.248
_cell_length_b 3.248
_cell_length_c 5.444
_cell_angle_alpha 90.00
_cell_angle_beta 90.00
_cell_angle_gamma 90.00
_space_group_name_H-M_alt 'P 4/m m m'
_space_group_IT_number 123
_space_group_name_Hall '-P 4 2'
loop_
_atom_site_label
_atom_site_type_symbol
_atom_site_fract_x
_atom_site_fract_y
_atom_site_fract_z
Pu1 Pu 0.000 0.000 0.000
Nb1 Nb 0.500 0.500 0.500
H1 H 0.000 0.500 0.295

***

[2]
# Pu2NbH8 PBE optimized geometry
# uncorrected energy: -137.29 eV/cell
# M_tot: 0.845 μB/atom
# DOS(E_F): 35.8 states/eV/cell
data_Pu2NbH8
_cell_length_a 3.678
_cell_length_b 4.515
_cell_length_c 11.499
_cell_angle_alpha 90.00
_cell_angle_beta 90.00
_cell_angle_gamma 90.00
_space_group_name_H-M_alt 'I m m m'
_space_group_IT_number 71
_space_group_name_Hall '-I 2 2'
loop_
_atom_site_label
_atom_site_type_symbol
_atom_site_fract_x
_atom_site_fract_y
_atom_site_fract_z
Pu1 Pu 0.000 0.000 0.170
Nb1 Nb 0.000 0.000 0.500
H1 H 0.000 0.236 0.361
H2 H 0.000 0.277 0.000
H3 H 0.000 0.500 0.218

***

[3]
# RbNbH3 PBE optimized geometry
# energy above the lowest structure with this stoichiometry: 1.435 eV per atom
# uncorrected energy: -12.93 eV/cell
# M_tot: 0.600 μB/atom
# DOS(E_F): 1.1 states/eV/cell
data_RbNbH3
_cell_length_a 4.516
_cell_length_b 4.516
_cell_length_c 4.516
_cell_angle_alpha 90.00
_cell_angle_beta 90.00
_cell_angle_gamma 90.00
_space_group_name_H-M_alt 'P m -3 m'
_space_group_IT_number 221
_space_group_name_Hall '-P 4 2 3'
loop_
_atom_site_label
_atom_site_type_symbol
_atom_site_fract_x
_atom_site_fract_y
_atom_site_fract_z
Rb1 Rb 0.000 0.000 0.000
Nb1 Nb 0.500 0.500 0.500
H1 H 0.000 0.000 0.500